# 1
Below is Ba2HfPt after structural relaxation, with properties calculated at the GGA-PBE level.

Lattice parameters (Å, degrees): 7.6251 7.6251 7.6251 90.00 90.00 90.00
Space group F-43m (No. 216)
Unique sites:
Ba1 0.0000 0.0000 0.0000 [4 per cell]
Ba2 0.2500 0.2500 0.2500 [4 per cell]
Hf1 0.2500 0.2500 0.7500 [4 per cell]
Pt1 0.0000 0.0000 0.5000 [4 per cell]

Calculated values
Total moment (Bohr magnetons per cell): 1.7
VASP energy (eV/cell): -72.9

=====

# 2
Below is KBaGd after structural relaxation, with properties calculated at the GGA-PBE level.

Lattice parameters (Å, degrees): 8.8865 8.8865 8.8865 90.00 90.00 90.00
Space group F-43m (No. 216)
Unique sites:
K1 0.0000 0.0000 0.0000 [4 per cell]
Ba1 0.2500 0.2500 0.7500 [4 per cell]
Gd1 0.2500 0.2500 0.2500 [4 per cell]

Calculated values
Total moment (Bohr magnetons per cell): 9.0
Offset from the most stable computed form (kJ/mol of formula units): 0

=====

# 3
Below is NbBiN2O after structural relaxation, with properties calculated at the GGA-PBE level.

Lattice parameters (Å, degrees): 5.8195 5.8195 14.1794 90.00 90.00 120.00
Space group P6_3/mmc (No. 194)
Unique sites:
Nb1 0.0000 0.0000 0.0000 [2 per cell]
Nb2 0.3333 0.6667 0.1427 [4 per cell]
Bi1 0.0000 0.0000 0.2500 [2 per cell]
Bi2 0.3333 0.6667 0.6256 [4 per cell]
N1 0.1588 0.3177 0.0913 [12 per cell]
O1 0.0174 0.5087 0.7500 [6 per cell]

Calculated values
Total moment (Bohr magnetons per cell): 0.0
VASP energy (eV/cell): -228.3

=====

# 4
Below is ZnFeGeAu after structural relaxation, with properties calculated at the GGA-PBE level.

Lattice parameters (Å, degrees): 6.2897 6.2897 6.2897 90.00 90.00 90.00
Space group F-43m (No. 216)
Unique sites:
Zn1 0.0000 0.0000 0.0000 [4 per cell]
Fe1 0.0000 0.0000 0.5000 [4 per cell]
Ge1 0.2500 0.2500 0.2500 [4 per cell]
Au1 0.2500 0.2500 0.7500 [4 per cell]

Calculated values
Total moment (Bohr magnetons per cell): 9.5
Offset from the most stable computed form (kJ/mol of formula units): 11